Below is crystalline Cs4CeNd3O8 at its relaxed geometry, with properties calculated at the PBE level.

## Properties
DOS at the Fermi energy: 5.13 states/eV/cell
formation energy without anion corrections: -40.2 eV/f.u.
symmetry: R-3m

abc: 7.403 8.173 7.403
angles: 116.93 120.00 90.00
Sites, in units of the cell vectors:
Cs 0.500 0.000 0.000
Cs 0.500 0.000 0.500
Cs 0.000 0.000 0.000
Cs 0.000 0.000 0.500
Ce 0.000 0.500 0.000
Nd 0.500 0.500 0.000
Nd 0.500 0.500 0.500
Nd 0.000 0.500 0.500
O 0.219 0.666 0.947
O 0.219 0.666 0.439
O 0.278 0.333 0.555
O 0.727 0.666 0.947
O 0.273 0.334 0.053
O 0.722 0.667 0.445
O 0.781 0.334 0.561
O 0.781 0.334 0.053

---

Below is crystalline Y2FeRu at its relaxed geometry, with properties calculated at the PBE level.

## Properties
E_tot: -31.18 eV per cell
DOS at the Fermi energy: 3.88 states/eV/cell
symmetry: Pm

abc: 4.050 4.357 5.459
angles: 66.38 90.00 90.00
Sites, in units of the cell vectors:
Fe 0.000 0.676 0.525
Ru 0.500 0.576 0.722
Y 0.000 0.978 0.919
Y 0.500 0.271 0.334

---

Below is crystalline Li2TaBe at its relaxed geometry, with properties calculated at the PBE level.

## Properties
E_tot: -17.45 eV per cell
DOS at the Fermi energy: 2.12 states/eV/cell
symmetry: Pmmm

abc: 2.586 4.246 5.209
angles: 90.00 90.00 90.00
Sites, in units of the cell vectors:
Be 0.500 0.500 0.750
Li 0.000 0.000 0.972
Li 0.000 0.000 0.528
Ta 0.500 0.500 0.250

---

Below is crystalline CuIrBr2 at its relaxed geometry, with properties calculated at the PBE level.

## Properties
E above lowest polymorph: 125.8 meV per atom
DOS at the Fermi energy: 1.08 states/eV/cell
formation energy without anion corrections: 1.5 eV/f.u.
symmetry: P2/m

abc: 3.743 5.192 6.725
angles: 131.11 90.00 90.00
Sites, in units of the cell vectors:
Br 0.000 0.695 0.961
Br 0.000 0.805 0.539
Cu 0.500 0.250 0.250
Ir 0.500 0.750 0.750

---

Below is crystalline SrCr2Cu at its relaxed geometry, with properties calculated at the PBE level.

## Properties
E above lowest polymorph: 113.7 meV per atom
DOS at the Fermi energy: 2.81 states/eV/cell
symmetry: Pm

abc: 3.912 3.258 6.747
angles: 76.17 90.00 90.00
Sites, in units of the cell vectors:
Cr 0.000 0.000 0.123
Cr 0.500 0.458 0.206
Cu 0.000 0.339 0.448
Sr 0.500 0.703 0.723

---

Below is crystalline Mg2OsN3 at its relaxed geometry, with properties calculated at the PBE level.

## Properties
DOS at the Fermi energy: 4.99 states/eV/cell
formation energy without anion corrections: -1.4 eV/f.u.
symmetry: Cmc2_1

abc: 5.881 5.951 5.194
angles: 90.00 90.00 120.39
Sites, in units of the cell vectors:
Mg 0.326 0.340 0.480
Mg 0.674 0.014 0.480
Mg 0.674 0.660 0.980
Mg 0.326 0.986 0.980
Os 0.000 0.692 0.491
Os 0.000 0.308 0.991
N 0.314 0.325 0.889
N 0.686 0.011 0.889
N 0.686 0.675 0.389
N 0.314 0.989 0.389
N 0.000 0.619 0.859
N 0.000 0.381 0.359

---

Below is crystalline KTe2SN at its relaxed geometry, with properties calculated at the PBE level.

## Properties
E above lowest polymorph: 1459.6 meV per atom
DOS at the Fermi energy: 6.46 states/eV/cell
formation energy without anion corrections: 9.1 eV/f.u.
symmetry: P4/mmm

abc: 6.228 6.228 4.846
angles: 90.00 90.00 90.00
Sites, in units of the cell vectors:
K 0.000 0.000 0.000
Te 0.000 0.500 0.000
Te 0.500 0.000 0.000
S 0.500 0.500 0.500
N 0.000 0.000 0.500

---

Below is crystalline Rb4Pb3Cl10 at its relaxed geometry, with properties calculated at the PBE level.

## Properties
DOS at the Fermi energy: 0.00 states/eV/cell
formation energy without anion corrections: -25.9 eV/f.u.
symmetry: I4/mmm

abc: 5.713 5.713 20.070
angles: 98.18 98.18 90.00
Sites, in units of the cell vectors:
Rb 0.568 0.568 0.136
Rb 0.432 0.432 0.864
Rb 0.300 0.300 0.599
Rb 0.700 0.700 0.401
Pb 0.147 0.147 0.294
Pb 0.853 0.853 0.706
Pb 0.000 0.000 0.000
Cl 0.145 0.645 0.290
Cl 0.072 0.072 0.145
Cl 0.645 0.145 0.290
Cl 0.855 0.355 0.710
Cl 0.355 0.855 0.710
Cl 0.928 0.928 0.855
Cl 0.218 0.218 0.436
Cl 0.782 0.782 0.564
Cl 0.000 0.500 0.000
Cl 0.500 0.000 0.000